Entry from Alexandria: a relaxed WClF2 crystal (GGA+U).

As for the energy above the lowest structure with this stoichiometry: 0.811 eV/atom. The magnetic moment comes out at 12.0 μB per cell. The calculation puts the total DFT energy (no corrections) at -60.20 eV/cell.

The space group is Fm-3m (No. 225) and the conventional cell measures 6.022, 6.022 and 6.022 Å, with angles of 90.00, 90.00 and 90.00 degrees. Symmetry generates all atoms from W at (0.000, 0.000, 0.000), Cl at (0.000, 0.000, 0.500) and F at (0.250, 0.250, 0.250).